# 1
Below is crystalline BOsSN2 at its relaxed geometry, with properties calculated at the PBEsol level.

Geometry as POSCAR:
```
BOsSN2
1.0
3.435 0.000 0.000
0.000 3.435 0.000
0.000 0.000 3.966
B Os S N
1 1 1 2
Direct
0.000 0.000 0.000
0.500 0.500 0.500
0.000 0.000 0.500
0.000 0.500 0.000
0.500 0.000 0.000
```

Values from the calculation:
* DOS(E_F): 3.5 states/eV/f.u.
* ΔE_f (raw): 1.51 eV/atom
* volume: 46.8 Å³/f.u.
* SG: P4/mmm (123)
* electronic total energy: -33.1 eV per cell

# 2
Below is crystalline PPbBrO2 at its relaxed geometry, with properties calculated at the PBEsol level.

Geometry as POSCAR:
```
PPbBrO2
1.0
4.079 0.000 0.000
0.000 4.079 0.000
0.000 0.000 5.842
P Pb Br O
1 1 1 2
Direct
0.000 0.000 0.000
0.000 0.000 0.500
0.500 0.500 0.000
0.000 0.500 0.500
0.500 0.000 0.500
```

Values from the calculation:
* DOS(E_F): 5.2 states/eV/f.u.
* ΔE_f (raw): 0.28 eV/atom
* volume: 97.2 Å³/f.u.
* SG: P4/mmm (123)
* electronic total energy: -20.8 eV per cell

# 3
Below is crystalline ScSi7Rh3 at its relaxed geometry, with properties calculated at the PBEsol level.

Geometry as POSCAR:
```
ScSi7Rh3
1.0
3.743 2.161 6.527
-3.743 2.161 6.527
0.000 -4.322 6.527
Sc Si Rh
2 14 6
Direct
0.000 0.000 0.000
0.500 0.500 0.500
0.069 0.852 0.671
0.148 0.329 0.931
0.171 0.352 0.569
0.250 0.250 0.250
0.329 0.931 0.148
0.352 0.569 0.171
0.431 0.829 0.648
0.569 0.171 0.352
0.648 0.431 0.829
0.671 0.069 0.852
0.750 0.750 0.750
0.829 0.648 0.431
0.852 0.671 0.069
0.931 0.148 0.329
0.072 0.750 0.428
0.250 0.572 0.928
0.428 0.072 0.750
0.572 0.928 0.250
0.750 0.428 0.072
0.928 0.250 0.572
```

Values from the calculation:
* DOS(E_F): 1.2 states/eV/f.u.
* ΔE_f (raw): -0.74 eV/atom
* volume: 158.4 Å³/f.u.
* SG: R-3c (167)
* electronic total energy: -158.9 eV per cell

# 4
Below is crystalline KC2I at its relaxed geometry, with properties calculated at the PBEsol level.

Geometry as POSCAR:
```
KC2I
1.0
-3.208 3.208 3.753
3.208 -3.208 3.753
3.208 3.208 -3.753
K C I
2 4 2
Direct
0.000 0.000 0.000
0.750 0.250 0.500
0.214 0.125 0.589
0.375 0.786 0.911
0.536 0.625 0.411
0.875 0.464 0.089
0.250 0.750 0.500
0.500 0.500 0.000
```

Values from the calculation:
* ΔE_f (raw): 2.08 eV/atom
* volume: 77.3 Å³/f.u.
* SG: I-42d (122)
* electronic total energy: -27.7 eV per cell

# 5
Below is crystalline Sc2MnCl at its relaxed geometry, with properties calculated at the PBEsol level.

Geometry as POSCAR:
```
Sc2MnCl
1.0
3.089 0.000 0.000
0.000 3.089 0.000
0.000 0.000 8.690
Sc Mn Cl
2 1 1
Direct
0.000 0.000 0.000
0.500 0.500 0.297
0.000 0.000 0.503
0.500 0.500 0.827
```

Values from the calculation:
* polymorph energy (0 for the lowest one): 0.0295 eV/atom
* DOS(E_F): 3.3 states/eV/f.u.
* ΔE_f (raw): -0.23 eV/atom
* volume: 82.9 Å³/f.u.
* SG: P4mm (99)
* electronic total energy: -25.9 eV per cell

# 6
Below is crystalline Li2Si3Ni3O10 at its relaxed geometry, with properties calculated at the PBEsol level.

Geometry as POSCAR:
```
Li2Si3Ni3O10
1.0
7.665 -2.338 0.000
7.665 2.338 0.000
-0.499 0.000 10.075
Li Si Ni O
4 6 6 20
Direct
0.155 0.736 0.530
0.264 0.845 0.970
0.736 0.155 0.030
0.845 0.264 0.470
0.157 0.526 0.095
0.194 0.806 0.250
0.474 0.843 0.405
0.526 0.157 0.595
0.806 0.194 0.750
0.843 0.474 0.905
0.000 0.500 0.500
0.068 0.619 0.785
0.381 0.932 0.715
0.500 0.000 0.000
0.619 0.068 0.285
0.932 0.381 0.215
0.040 0.054 0.639
0.054 0.040 0.139
0.126 0.185 0.395
0.185 0.126 0.895
0.252 0.273 0.167
0.273 0.252 0.667
0.301 0.387 0.948
0.366 0.500 0.174
0.387 0.301 0.448
0.500 0.366 0.674
0.500 0.634 0.326
0.613 0.699 0.552
0.634 0.500 0.826
0.699 0.613 0.052
0.727 0.748 0.333
0.748 0.727 0.833
0.815 0.874 0.105
0.874 0.815 0.605
0.946 0.960 0.861
0.960 0.946 0.361
```

Values from the calculation:
* ΔE_f (raw): -1.92 eV/atom
* volume: 180.6 Å³/f.u.
* SG: C2/c (15)
* electronic total energy: -253.5 eV per cell

# 7
Below is crystalline SiOsPt2 at its relaxed geometry, with properties calculated at the PBEsol level.

Geometry as POSCAR:
```
SiOsPt2
1.0
2.793 0.000 0.000
0.000 3.942 0.000
-1.202 0.000 5.171
Si Os Pt
1 1 2
Direct
0.000 0.000 0.000
0.000 0.000 0.500
0.375 0.500 0.239
0.625 0.500 0.761
```

Values from the calculation:
* DOS(E_F): 4.2 states/eV/f.u.
* ΔE_f (raw): -0.04 eV/atom
* volume: 56.9 Å³/f.u.
* SG: P2/m (10)
* electronic total energy: -32.1 eV per cell

# 8
Below is crystalline KTaNi2 at its relaxed geometry, with properties calculated at the PBEsol level.

Geometry as POSCAR:
```
KTaNi2
1.0
-1.311 2.410 5.164
1.311 -2.410 5.164
1.311 2.410 -5.164
K Ta Ni
1 1 2
Direct
0.000 0.000 0.000
0.703 0.203 0.500
0.279 0.779 0.500
0.482 0.482 0.000
```

Values from the calculation:
* energy of formation from the pure elements: 0.7397 eV/atom
* DOS(E_F): 3.4 states/eV/f.u.
* volume: 65.3 Å³/f.u.
* SG: Imm2 (44)
* electronic total energy: -23.0 eV per cell

# 9
Below is crystalline KTiCrIn2 at its relaxed geometry, with properties calculated at the PBEsol level.

Geometry as POSCAR:
```
KTiCrIn2
1.0
5.247 0.000 0.000
0.000 5.247 0.000
0.000 0.000 4.258
K Ti Cr In
1 1 1 2
Direct
0.000 0.000 0.000
0.500 0.500 0.000
0.500 0.500 0.500
0.000 0.500 0.500
0.500 0.000 0.500
```

Values from the calculation:
* energy of formation from the pure elements: 0.2951 eV/atom
* DOS(E_F): 1.7 states/eV/f.u.
* volume: 117.2 Å³/f.u.
* SG: P4/mmm (123)
* electronic total energy: -24.2 eV per cell

# 10
Below is crystalline Hg3GeC at its relaxed geometry, with properties calculated at the PBEsol level.

Geometry as POSCAR:
```
Hg3GeC
1.0
5.172 0.000 0.000
0.000 5.172 0.000
0.000 0.000 5.172
Hg Ge C
3 1 1
Direct
0.000 0.000 0.500
0.000 0.500 0.000
0.500 0.000 0.000
0.000 0.000 0.000
0.500 0.500 0.500
```

Values from the calculation:
* energy of formation from the pure elements: 1.5956 eV/atom
* DOS(E_F): 4.1 states/eV/f.u.
* volume: 138.4 Å³/f.u.
* SG: Pm-3m (221)
* electronic total energy: -8.3 eV per cell

# 11
Below is crystalline CsC at its relaxed geometry, with properties calculated at the PBEsol level.

Geometry as POSCAR:
```
CsC
1.0
2.099 -6.196 0.000
2.099 6.196 0.000
0.000 0.000 5.139
Cs C
2 2
Direct
0.119 0.881 0.750
0.881 0.119 0.250
0.379 0.621 0.750
0.621 0.379 0.250
```

Values from the calculation:
* energy of formation from the pure elements: 2.4008 eV/atom
* volume: 66.8 Å³/f.u.
* SG: Cmcm (63)
* electronic total energy: -11.6 eV per cell

# 12
Below is crystalline Cr2FeBr2 at its relaxed geometry, with properties calculated at the PBEsol level.

Geometry as POSCAR:
```
Cr2FeBr2
1.0
-2.046 2.046 5.008
2.046 -2.046 5.008
2.046 2.046 -5.008
Cr Fe Br
2 1 2
Direct
0.250 0.750 0.500
0.750 0.250 0.500
0.000 0.000 0.000
0.361 0.361 0.000
0.639 0.639 0.000
```

Values from the calculation:
* DOS(E_F): 5.4 states/eV/f.u.
* ΔE_f (raw): 1.09 eV/atom
* volume: 83.8 Å³/f.u.
* SG: I4/mmm (139)
* electronic total energy: -27.7 eV per cell

# 13
Below is crystalline Y2TcNiP at its relaxed geometry, with properties calculated at the PBEsol level.

Geometry as POSCAR:
```
Y2TcNiP
1.0
5.074 0.000 0.000
0.000 5.074 0.000
0.000 0.000 4.257
Y Tc Ni P
2 1 1 1
Direct
0.000 0.500 0.000
0.500 0.000 0.000
0.000 0.000 0.500
0.000 0.000 0.000
0.500 0.500 0.500
```

Values from the calculation:
* energy of formation from the pure elements: 0.1999 eV/atom
* DOS(E_F): 3.5 states/eV/f.u.
* volume: 109.6 Å³/f.u.
* SG: P4/mmm (123)
* electronic total energy: -35.9 eV per cell

# 14
Below is crystalline BaZr2TcAs at its relaxed geometry, with properties calculated at the PBEsol level.

Geometry as POSCAR:
```
BaZr2TcAs
1.0
4.909 0.000 0.000
0.000 4.909 0.000
0.000 0.000 5.669
Ba Zr Tc As
1 2 1 1
Direct
0.000 0.000 0.000
0.000 0.500 0.500
0.500 0.000 0.500
0.000 0.000 0.500
0.500 0.500 0.000
```

Values from the calculation:
* energy of formation from the pure elements: 0.4852 eV/atom
* DOS(E_F): 5.1 states/eV/f.u.
* volume: 136.6 Å³/f.u.
* SG: P4/mmm (123)
* electronic total energy: -34.3 eV per cell

# 15
Below is crystalline YCu2Re2 at its relaxed geometry, with properties calculated at the PBEsol level.

Geometry as POSCAR:
```
YCu2Re2
1.0
-2.050 2.050 5.110
2.050 -2.050 5.110
2.050 2.050 -5.110
Y Cu Re
1 2 2
Direct
0.000 0.000 0.000
0.250 0.750 0.500
0.750 0.250 0.500
0.389 0.389 0.000
0.611 0.611 0.000
```

Values from the calculation:
* energy of formation from the pure elements: 0.3891 eV/atom
* DOS(E_F): 4.6 states/eV/f.u.
* volume: 85.9 Å³/f.u.
* SG: I4/mmm (139)
* electronic total energy: -40.2 eV per cell

# 16
Below is crystalline ReTeRu2 at its relaxed geometry, with properties calculated at the PBEsol level.

Geometry as POSCAR:
```
ReTeRu2
1.0
4.002 0.000 0.000
0.000 1.448 5.378
0.000 -1.448 5.378
Re Te Ru
1 1 2
Direct
0.000 0.000 0.000
0.500 0.163 0.163
0.000 0.756 0.756
0.500 0.402 0.402
```

Values from the calculation:
* DOS(E_F): 3.0 states/eV/f.u.
* ΔE_f (raw): 0.44 eV/atom
* volume: 62.3 Å³/f.u.
* SG: Amm2 (38)
* electronic total energy: -35.5 eV per cell

# 17
Below is crystalline RbSeBr3 at its relaxed geometry, with properties calculated at the PBEsol level.

Geometry as POSCAR:
```
RbSeBr3
1.0
5.257 0.000 0.000
0.000 8.639 0.000
-1.026 0.000 7.443
Rb Se Br
2 2 6
Direct
0.195 0.250 0.149
0.805 0.750 0.851
0.000 0.000 0.500
0.000 0.500 0.500
0.226 0.750 0.409
0.298 0.003 0.804
0.298 0.497 0.804
0.702 0.503 0.196
0.702 0.997 0.196
0.774 0.250 0.591
```

Values from the calculation:
* DOS(E_F): 0.0 states/eV/f.u.
* ΔE_f (raw): -0.76 eV/atom
* volume: 169.0 Å³/f.u.
* SG: P2_1/m (11)
* electronic total energy: -28.6 eV per cell

# 18
Below is crystalline KFeBr2 at its relaxed geometry, with properties calculated at the PBEsol level.

Geometry as POSCAR:
```
KFeBr2
1.0
5.126 0.000 0.000
0.000 5.126 0.000
0.000 0.000 3.512
K Fe Br
1 1 2
Direct
0.000 0.000 0.000
0.500 0.500 0.000
0.000 0.500 0.500
0.500 0.000 0.500
```

Values from the calculation:
* DOS(E_F): 3.1 states/eV/f.u.
* ΔE_f (raw): -0.27 eV/atom
* volume: 92.3 Å³/f.u.
* SG: P4/mmm (123)
* electronic total energy: -14.9 eV per cell

# 19
Below is crystalline RbFe3C at its relaxed geometry, with properties calculated at the PBEsol level.

Geometry as POSCAR:
```
RbFe3C
1.0
3.999 0.000 0.000
0.000 3.999 0.000
0.000 0.000 3.999
Rb Fe C
1 3 1
Direct
0.000 0.000 0.000
0.000 0.500 0.500
0.500 0.000 0.500
0.500 0.500 0.000
0.500 0.500 0.500
```

Values from the calculation:
* energy of formation from the pure elements: 1.0931 eV/atom
* DOS(E_F): 5.6 states/eV/f.u.
* volume: 63.9 Å³/f.u.
* SG: Pm-3m (221)
* electronic total energy: -32.1 eV per cell

# 20
Below is crystalline MgBe4Re at its relaxed geometry, with properties calculated at the PBEsol level.

Geometry as POSCAR:
```
MgBe4Re
1.0
0.000 3.137 3.137
3.137 0.000 3.137
3.137 3.137 0.000
Mg Be Re
1 4 1
Direct
0.000 0.000 0.000
0.135 0.622 0.622
0.622 0.135 0.622
0.622 0.622 0.135
0.622 0.622 0.622
0.250 0.250 0.250
```

Values from the calculation:
* energy of formation from the pure elements: 0.0443 eV/atom
* DOS(E_F): 3.2 states/eV/f.u.
* volume: 61.8 Å³/f.u.
* SG: F-43m (216)
* electronic total energy: -30.8 eV per cell